# MgVO4

MgVO4 after structural relaxation (GGA+U, Alexandria via LeMat-Bulk).

```
MgVO4
1.0
4.6856 0.0000 0.0000
0.0000 5.4458 0.0192
0.0000 -2.1426 5.0674
Mg V O
2 2 8
Cartesian
0.0000 1.6516 2.5433 Mg
2.3428 -1.0713 2.5337 Mg
2.3428 2.7229 0.0096 V
0.0000 0.0000 0.0000 V
1.3429 4.2381 0.6682 O
0.9999 1.5152 0.6586 O
3.1635 2.6930 1.6490 O
0.8207 3.3331 3.4473 O
3.8649 -0.0299 1.6394 O
1.5221 0.6102 3.4377 O
3.6857 1.7879 4.4281 O
3.3427 -0.9349 4.4185 O
```

Summary:
Calculated density in Mg/m³: 3.6
VASP energy in eV per atom: -6.594
Space-group type: P2_1/c